1.
{
  "formula": "Hf15Zr2In2",
  "functional": "PBE",
  "state": "optimized geometry",
  "cell": [[6.0039, -4.9774, -0.1488], [6.0039, 4.9774, -0.1488], [2.0676, 0.0000, 7.5212]],
  "species": ["In", "Hf", "Hf", "Zr", "Hf", "Zr", "Hf", "Hf", "In", "Hf", "Hf", "Hf", "Hf", "Hf", "Hf", "Hf", "Hf", "Hf", "Hf"],
  "frac_coords": [[0.7069, 0.7069, 0.7069], [0.1620, 0.6301, 0.6301], [0.0000, 0.5000, 0.0000], [0.0863, 0.0863, 0.0863], [0.0000, 0.3019, 0.6981], [0.9137, 0.9137, 0.9137], [0.3699, 0.3699, 0.8380], [0.0000, 0.0000, 0.5000], [0.2931, 0.2931, 0.2931], [0.6301, 0.1620, 0.6301], [0.3699, 0.8380, 0.3699], [0.6981, 0.0000, 0.3019], [0.5000, 0.0000, 0.0000], [0.3019, 0.0000, 0.6981], [0.0000, 0.6981, 0.3019], [0.6301, 0.6301, 0.1620], [0.8380, 0.3699, 0.3699], [0.3019, 0.6981, 0.0000], [0.6981, 0.3019, 0.0000]],
  "volume_a3_per_atom": 23.82,
  "total_magnetization_mub_per_atom": 0.00,
  "delta_e_f_ev_per_atom": 0.432,
  "total_energy_ev_per_atom": -8.614
}

***

2.
{
  "formula": "Tb5Dy2Tm4",
  "functional": "PBE",
  "state": "optimized geometry",
  "cell": [[-1.1088, 5.2737, -1.5451], [7.8834, 0.2539, -4.7906], [-22.3883, -5.5334, 7.3500]],
  "species": ["Tm", "Tm", "Dy", "Tb", "Tb", "Tm", "Tb", "Tb", "Dy", "Tb", "Tm"],
  "frac_coords": [[0.0518, 0.0131, 0.1035], [0.3145, 0.3745, 0.6289], [0.4140, 0.2282, 0.8280], [0.8389, 0.0952, 0.6777], [0.2081, 0.5057, 0.4161], [0.9482, 0.9869, 0.8965], [0.5000, 0.0000, 0.0000], [0.7919, 0.4943, 0.5839], [0.5860, 0.7718, 0.1720], [0.1611, 0.9048, 0.3223], [0.6855, 0.6255, 0.3711]],
  "volume_a3_per_atom": 31.45,
  "e_above_lowest_polymorph_kcal_per_mol_atoms": 0.000,
  "total_magnetization_mub_per_atom": 0.00,
  "delta_e_f_ev_per_atom": 0.098,
  "total_energy_ev_per_atom": -4.470
}

***

3.
{
  "formula": "YZrInAg",
  "functional": "PBE",
  "state": "optimized geometry",
  "cell": [[5.1019, 0.0000, 0.0000], [2.5509, 4.4183, 0.0000], [2.5509, 1.4728, 4.1657]],
  "species": ["In", "Zr", "Ag", "Y"],
  "frac_coords": [[0.5000, 0.5000, 0.5000], [0.2500, 0.2500, 0.2500], [0.0000, 0.0000, 0.0000], [0.7500, 0.7500, 0.7500]],
  "volume_a3_per_atom": 23.48,
  "total_magnetization_mub_per_atom": 0.23,
  "delta_e_f_ev_per_atom": -0.227,
  "total_energy_ev_per_atom": -5.377
}

***

4.
{
  "formula": "Hg4SbSBr2",
  "functional": "PBE",
  "state": "optimized geometry",
  "cell": [[-6.0501, -2.4714, -5.9146], [6.9260, -3.6229, -4.0743], [-1.2914, -2.0032, 7.8520]],
  "species": ["Hg", "Hg", "Sb", "Hg", "Hg", "S", "Hg", "Sb", "Br", "Hg", "Br", "Hg", "Hg", "Br", "S", "Br"],
  "frac_coords": [[0.7773, 0.7222, 0.5245], [0.7778, 0.7227, 0.9755], [0.0000, 0.5000, 0.0000], [0.7299, 0.2810, 0.5055], [0.2190, 0.7701, 0.9945], [0.5000, 0.5000, 0.5000], [0.2222, 0.2773, 0.0245], [0.0000, 0.5000, 0.5000], [0.5000, 0.0000, 0.0000], [0.2701, 0.7190, 0.4945], [0.5000, 0.5000, 0.0000], [0.7810, 0.2299, 0.0055], [0.2227, 0.2778, 0.4755], [0.0000, 0.0000, 0.5000], [0.0000, 0.0000, 0.0000], [0.5000, 0.0000, 0.5000]],
  "volume_a3_per_atom": 28.29,
  "total_magnetization_mub_per_atom": 0.00,
  "total_energy_ev_per_atom": -1.684,
  "e_form_raw_kj_per_mol_fu": -65
}

***

5.
{
  "formula": "Dy2Zn2SnPt5",
  "functional": "PBE",
  "state": "optimized geometry",
  "cell": [[-2.2751, 0.1664, -3.1112], [-7.7309, -1.7445, 5.5602], [-1.1670, 9.5136, 1.3621]],
  "species": ["Zn", "Pt", "Dy", "Pt", "Sn", "Pt", "Dy", "Zn", "Dy", "Pt", "Pt", "Zn", "Pt", "Pt", "Sn", "Dy", "Pt", "Pt", "Pt", "Zn"],
  "frac_coords": [[0.0000, 0.6200, 0.8800], [0.5000, 0.7914, 0.9323], [0.0000, 0.3235, 0.8235], [0.5000, 0.4323, 0.2914], [0.0000, 0.0000, 0.0000], [0.5000, 0.5677, 0.7086], [0.0000, 0.8235, 0.6765], [0.0000, 0.8800, 0.3800], [0.0000, 0.6765, 0.1765], [0.5000, 0.2086, 0.0677], [0.5000, 0.9323, 0.2086], [0.0000, 0.1200, 0.6200], [0.5000, 0.7086, 0.4323], [0.5000, 0.0677, 0.7914], [0.0000, 0.5000, 0.5000], [0.0000, 0.1765, 0.3235], [0.5000, 0.0000, 0.5000], [0.5000, 0.5000, 0.0000], [0.5000, 0.2914, 0.5677], [0.0000, 0.3800, 0.1200]],
  "volume_a3_per_atom": 18.08,
  "total_magnetization_mub_per_atom": 0.00,
  "delta_e_f_ev_per_atom": -0.838,
  "total_energy_ev_per_atom": -5.434
}

***

6.
{
  "formula": "YSnAu",
  "functional": "PBE",
  "state": "optimized geometry",
  "cell": [[-0.6781, 1.3768, 3.3148], [3.9624, -1.8678, 1.5865], [4.1282, 7.0048, -2.0649]],
  "species": ["Sn", "Au", "Y", "Y", "Au", "Sn"],
  "frac_coords": [[0.3911, 0.7594, 0.1500], [0.3910, 0.2593, 0.6406], [0.8910, 0.7595, 0.4785], [0.8909, 0.2594, 0.9785], [0.3910, 0.2595, 0.3163], [0.3910, 0.7593, 0.8069]],
  "volume_a3_per_atom": 23.79,
  "total_magnetization_mub_per_atom": 0.00,
  "delta_e_f_ev_per_atom": -0.699,
  "total_energy_ev_per_atom": -5.280
}